Below is U2H2SI after structural relaxation, with properties calculated at the PBE level.

a b c (Å): 3.7721 3.7721 8.5164
angles (deg): 90.00 90.00 120.00
With the nearest neighbours (Å) after each atom.
Space group P-3m1 (No. 164)
Symmetry-distinct sites (fractional):
U (0.3333, 0.6667, 0.1971) x2  3 H 2.22
H (0.3333, 0.6667, 0.7516) x2  3 U 2.22
S (0.0000, 0.0000, 0.0000) x1  6 U 2.75, 6 H 3.04
I (0.0000, 0.0000, 0.5000) x1  6 H 3.06, 6 U 3.38

Calculated values
E_tot ... -6.4923 eV/atom